[1]
Below is a relaxed structure of AlFeNi2, with properties calculated at the PBE-GGA level.

## Properties
D(E_F)	3.3	states/eV per cell
E_form	-24.4	kJ/mol of atoms

Structure (extended XYZ):
```
4
Lattice="-2.552 -0.167 0.648 -0.818 -0.267 -3.288 0.419 -5.180 0.317" Properties=species:S:1:pos:R:3 pbc="T T T"
Al 0.205 -2.530 0.155
Ni -1.579 -1.523 -1.240
Ni 0.416 -5.142 0.315
Fe -1.364 -4.188 -1.077
```

[2]
Below is a relaxed structure of Al2FeNi9, with properties calculated at the PBE-GGA level.

## Properties
D(E_F)	13.5	states/eV per cell
E_form	-24.3	kJ/mol of atoms

Structure (extended XYZ):
```
12
Lattice="4.100 0.828 1.076 2.588 6.783 1.551 1.088 1.847 5.796" Properties=species:S:1:pos:R:3 pbc="T T T"
Al 1.600 2.247 3.252
Ni 3.953 2.748 2.611
Ni 3.396 2.430 5.099
Ni 4.460 5.071 1.791
Ni 4.379 7.028 3.324
Ni 3.315 4.387 6.633
Ni 2.136 4.515 2.431
Ni 5.639 4.943 5.992
Al 6.176 7.211 5.171
Ni 3.822 6.710 5.813
Fe 0.000 0.000 0.000
Ni 3.888 4.729 4.212
```

[3]
Below is a relaxed structure of AlFeNi2, with properties calculated at the PBE-GGA level.

## Properties
D(E_F)	3.9	states/eV per cell
E_form	-23.0	kJ/mol of atoms

Structure (extended XYZ):
```
4
Lattice="-3.291 0.841 -2.688 -4.297 0.442 -0.317 -0.384 4.379 0.574" Properties=species:S:1:pos:R:3 pbc="T T T"
Al -5.979 4.246 -1.823
Ni -0.014 0.022 -0.002
Fe -1.993 1.415 -0.608
Ni -3.972 2.809 -1.213
```

[4]
Below is a relaxed structure of AlFeNi, with properties calculated at the PBE-GGA level.

## Properties
D(E_F)	2.4	states/eV per cell
E_form	-25.7	kJ/mol of atoms

Structure (extended XYZ):
```
3
Lattice="4.641 0.060 -0.025 2.670 3.796 0.025 -3.444 -2.330 2.063" Properties=species:S:1:pos:R:3 pbc="T T T"
Fe 2.417 1.275 0.000
Ni 4.874 2.571 0.000
Al 0.022 0.011 0.000
```

[5]
Below is a relaxed structure of Al5FeNi, with properties calculated at the PBE-GGA level.

## Properties
D(E_F)	10.4	states/eV per cell
E_form	-37.0	kJ/mol of atoms

Structure (extended XYZ):
```
28
Lattice="7.702 -0.006 0.000 -3.857 6.667 0.000 0.000 0.000 7.671" Properties=species:S:1:pos:R:3 pbc="T T T"
Ni -2.380 5.814 0.000
Fe -0.018 4.450 3.835
Al 2.290 3.118 3.835
Ni -0.027 1.676 0.000
Al 3.841 0.371 3.835
Ni 2.380 5.846 0.000
Al 0.024 2.614 5.301
Al -1.604 3.523 0.000
Al -3.853 6.664 5.728
Al -1.633 5.383 5.264
Al 0.024 2.614 2.370
Fe 3.831 2.228 0.000
Al -0.009 6.288 0.000
Al 5.430 1.305 6.190
Fe 1.461 0.856 3.835
Al 2.285 1.315 6.143
Al 5.445 3.149 3.835
Ni 6.237 0.840 3.835
Al 3.849 4.025 6.143
Fe 3.834 4.967 3.835
Al -3.853 6.664 1.942
Al 1.593 5.333 5.301
Al 5.430 1.305 1.481
Al 1.593 5.333 2.370
Al 2.285 1.315 1.528
Al 3.849 4.025 1.528
Al 1.595 3.519 0.000
Al -1.633 5.383 2.406
```

[6]
Below is a relaxed structure of Al2Fe2Ni3, with properties calculated at the PBE-GGA level.

## Properties
D(E_F)	6.2	states/eV per cell
E_form	-18.2	kJ/mol of atoms

Structure (extended XYZ):
```
7
Lattice="-0.727 -0.782 -3.481 -0.263 -2.477 0.612 -9.171 0.924 -0.197" Properties=species:S:1:pos:R:3 pbc="T T T"
Fe -5.920 -1.265 -2.288
Fe -4.240 -1.070 -0.779
Al -8.362 -0.900 -1.861
Ni -6.601 0.540 -0.648
Al -1.799 -1.435 -1.206
Ni 0.000 0.000 0.000
Ni -3.297 -0.399 -3.031
```

[7]
Below is a relaxed structure of Al2FeNi2, with properties calculated at the PBE-GGA level.

## Properties
D(E_F)	4.4	states/eV per cell
E_form	-33.3	kJ/mol of atoms
energy above the lowest structure with this stoichiometry	0	meV/atom

Structure (extended XYZ):
```
10
Lattice="6.850 0.000 0.000 0.000 6.850 0.000 0.000 0.000 2.677" Properties=species:S:1:pos:R:3 pbc="T T T"
Fe 0.000 0.000 0.000
Al 2.299 1.125 1.338
Ni 0.912 2.513 0.000
Ni 5.938 4.337 0.000
Al 5.724 2.299 1.338
Ni 4.337 0.912 0.000
Al 4.550 5.724 1.338
Al 1.125 4.550 1.338
Fe 3.425 3.425 0.000
Ni 2.513 5.938 0.000
```

[8]
Below is a relaxed structure of AlFe2Ni, with properties calculated at the PBE-GGA level.

## Properties
D(E_F)	2.7	states/eV per cell
E_form	-18.3	kJ/mol of atoms

Structure (extended XYZ):
```
4
Lattice="3.717 0.000 0.000 0.000 2.567 0.047 0.000 2.498 5.040" Properties=species:S:1:pos:R:3 pbc="T T T"
Al 1.859 3.799 3.815
Fe 0.000 2.565 0.058
Ni 1.859 1.266 1.272
Fe 0.000 2.535 2.532
```

[9]
Below is a relaxed structure of AlFe2Ni2, with properties calculated at the PBE-GGA level.

## Properties
D(E_F)	7.5	states/eV per cell
E_form	-3.2	kJ/mol of atoms

Structure (extended XYZ):
```
10
Lattice="-4.985 2.970 -3.537 -4.388 -4.668 2.265 -0.572 1.567 2.123" Properties=species:S:1:pos:R:3 pbc="T T T"
Al 0.000 0.000 0.000
Fe -7.268 -1.108 0.577
Ni -7.103 -0.338 -1.665
Fe -2.678 0.978 0.274
Ni -5.686 -2.967 0.658
Ni -3.687 1.269 -1.931
Fe -4.065 -1.838 1.979
Ni -2.270 -1.360 0.393
Fe -5.881 1.707 -1.128
Al -4.687 -0.849 -0.636
```

[10]
Below is a relaxed structure of AlFe2Ni, with properties calculated at the PBE-GGA level.

## Properties
D(E_F)	3.7	states/eV per cell
E_form	-15.7	kJ/mol of atoms

Structure (extended XYZ):
```
4
Lattice="4.388 0.028 -0.010 3.611 2.493 -0.010 0.749 0.236 4.404" Properties=species:S:1:pos:R:3 pbc="T T T"
Fe 6.608 2.083 3.317
Al 2.160 0.681 1.138
Fe 0.746 0.235 4.358
Ni 4.358 1.374 2.167
```

[11]
Below is a relaxed structure of Al2FeNi2, with properties calculated at the PBE-GGA level.

## Properties
D(E_F)	3.7	states/eV per cell
E_form	3.2	kJ/mol of atoms
energy above the lowest structure with this stoichiometry	379	meV/atom

Structure (extended XYZ):
```
5
Lattice="3.634 0.000 0.000 0.000 3.634 0.000 1.817 1.817 5.305" Properties=species:S:1:pos:R:3 pbc="T T T"
Al 3.634 1.817 2.652
Ni 1.817 1.817 1.113
Ni 3.634 3.634 4.192
Fe 0.000 0.000 0.000
Al 1.817 3.634 2.652
```

[12]
Below is a relaxed structure of AlFeNi2, with properties calculated at the PBE-GGA level.

## Properties
D(E_F)	5.7	states/eV per cell
E_form	13.2	kJ/mol of atoms

Structure (extended XYZ):
```
8
Lattice="-1.300 3.242 -0.328 -1.580 -0.318 3.116 5.337 4.559 5.146" Properties=species:S:1:pos:R:3 pbc="T T T"
Al 1.158 2.851 4.828
Fe 1.299 4.631 3.106
Ni 2.923 4.516 4.904
Al -1.440 1.462 1.394
Ni 0.185 1.345 3.193
Ni 0.324 3.127 1.471
Ni 1.482 5.978 6.300
Fe 0.000 0.000 0.000
```

[13]
Below is a relaxed structure of Al8Fe2Ni, with properties calculated at the PBE-GGA level.

## Properties
D(E_F)	1.4	states/eV per cell
E_form	-27.6	kJ/mol of atoms
energy above the lowest structure with this stoichiometry	8	meV/atom

Structure (extended XYZ):
```
11
Lattice="-4.251 1.693 0.145 -1.897 -4.682 -0.880 4.683 -0.381 6.891" Properties=species:S:1:pos:R:3 pbc="T T T"
Fe -0.126 -0.372 4.046
Al -0.486 -1.155 1.590
Al -1.319 -3.518 1.380
Al -4.013 -3.581 0.237
Al 0.723 -4.707 2.957
Al 1.600 -2.231 3.190
Ni 3.535 -0.465 6.218
Al -0.881 -2.757 4.049
Al 2.606 -2.760 5.788
Fe -2.951 -1.480 1.082
Al 1.022 -0.575 6.111
```

[14]
Below is a relaxed structure of Al2FeNi4, with properties calculated at the PBE-GGA level.

## Properties
D(E_F)	3.8	states/eV per cell
E_form	-23.4	kJ/mol of atoms

Structure (extended XYZ):
```
7
Lattice="-0.732 -1.861 -3.058 3.990 1.932 -2.132 2.849 -3.692 1.565" Properties=species:S:1:pos:R:3 pbc="T T T"
Al 3.084 -2.532 0.803
Al 3.754 0.773 -1.370
Ni 1.918 -0.493 -0.159
Ni 1.058 -2.777 -0.746
Fe 3.053 -1.811 -1.812
Ni 1.629 0.035 -2.595
Ni 4.921 -1.266 -0.408
```

[15]
Below is a relaxed structure of AlFeNi2, with properties calculated at the PBE-GGA level.

## Properties
D(E_F)	2.2	states/eV per cell
E_form	-29.7	kJ/mol of atoms

Structure (extended XYZ):
```
4
Lattice="-3.466 -0.121 -2.701 -3.281 -2.149 1.985 2.526 3.337 1.344" Properties=species:S:1:pos:R:3 pbc="T T T"
Fe -2.064 0.026 1.485
Ni -3.281 -2.149 1.984
Al -3.373 -1.135 -0.358
Ni -2.157 1.040 -0.858
```

[16]
Below is a relaxed structure of AlFeNi, with properties calculated at the PBE-GGA level.

## Properties
D(E_F)	2.0	states/eV per cell
E_form	14.9	kJ/mol of atoms

Structure (extended XYZ):
```
3
Lattice="-3.222 -2.066 -0.902 0.331 -3.436 -1.883 -0.774 -3.360 1.890" Properties=species:S:1:pos:R:3 pbc="T T T"
Ni 0.000 0.000 0.000
Fe -2.749 -6.647 -0.671
Al -1.833 -4.431 -0.448
```

[17]
Below is a relaxed structure of AlFe2Ni, with properties calculated at the PBE-GGA level.

## Properties
D(E_F)	2.7	states/eV per cell
E_form	-6.7	kJ/mol of atoms

Structure (extended XYZ):
```
4
Lattice="-2.067 1.105 8.016 -3.208 -1.209 7.615 -0.679 -1.094 8.251" Properties=species:S:1:pos:R:3 pbc="T T T"
Fe -0.002 0.000 0.008
Fe -1.476 -0.297 5.922
Ni -2.975 -0.599 11.935
Al -4.476 -0.901 17.954
```

[18]
Below is a relaxed structure of Al3Fe2Ni, with properties calculated at the PBE-GGA level.

## Properties
D(E_F)	5.4	states/eV per cell
E_form	-43.6	kJ/mol of atoms

Structure (extended XYZ):
```
6
Lattice="-0.719 2.331 -1.552 -1.873 -1.591 -1.522 -6.142 1.852 5.624" Properties=species:S:1:pos:R:3 pbc="T T T"
Al -4.129 1.245 3.781
Ni -4.367 1.296 1.275
Fe -6.410 1.912 3.145
Al -2.013 0.607 1.843
Al 0.000 0.000 0.000
Fe -2.324 0.680 -0.596
```

[19]
Below is a relaxed structure of Al4FeNi, with properties calculated at the PBE-GGA level.

## Properties
D(E_F)	5.0	states/eV per cell
E_form	23.7	kJ/mol of atoms

Structure (extended XYZ):
```
6
Lattice="2.041 -4.099 1.926 1.638 0.009 4.690 -2.426 -2.581 3.483" Properties=species:S:1:pos:R:3 pbc="T T T"
Al 1.289 -2.498 6.132
Al -0.743 -3.792 5.528
Fe 0.940 -5.004 7.574
Ni 0.000 0.000 0.000
Al 0.470 -2.502 3.787
Al 1.490 -4.551 4.750
```

[20]
Below is a relaxed structure of Al6FeNi, with properties calculated at the PBE-GGA level.

## Properties
D(E_F)	4.3	states/eV per cell
E_form	-18.4	kJ/mol of atoms

Structure (extended XYZ):
```
8
Lattice="-0.939 -0.241 -6.684 2.875 -0.178 -2.838 1.299 -6.076 -1.183" Properties=species:S:1:pos:R:3 pbc="T T T"
Ni 0.000 0.000 0.000
Al 1.371 -4.242 -6.983
Al 0.467 -0.105 -2.396
Al 1.468 -0.314 -7.126
Fe 0.968 -0.210 -4.761
Al 3.257 -4.210 -5.067
Al -0.023 -2.285 -5.638
Al 1.863 -2.253 -3.722
```